This record from the Alexandria database describes a geometry-optimized La3VAs structure. The functional is PBE-GGA.

Calculated values
The energy of formation comes out at -0.03 eV/atom. The electronic total energy is -28.678 eV per cell.

The structure in CIF format:
```
data_La3VAs
_chemical_formula_sum 'La3 V1 As1'
_space_group_name_H-M_alt 'P m -3 m'
_space_group_IT_number 221
_space_group_name_Hall '-P 4 2 3'
_cell_length_a 5.233
_cell_length_b 5.233
_cell_length_c 5.233
_cell_angle_alpha 90.00
_cell_angle_beta 90.00
_cell_angle_gamma 90.00
loop_
_atom_site_label
_atom_site_fract_x
_atom_site_fract_y
_atom_site_fract_z
La1 0.000 0.000 0.500
V1 0.000 0.000 0.000
As1 0.500 0.500 0.500
```

=====

This record from the Alexandria database describes a geometry-optimized Al2Pd3Rh structure. The functional is PBE-GGA.

Calculated values
The energy of formation comes out at -0.61 eV/atom. The electronic total energy is -136.183 eV per cell.

The structure in CIF format:
```
data_Al2Pd3Rh
_chemical_formula_sum 'Al8 Pd12 Rh4'
_space_group_name_H-M_alt 'I b a m'
_space_group_IT_number 72
_space_group_name_Hall '-I 2 2c'
_cell_length_a 5.400
_cell_length_b 12.748
_cell_length_c 5.375
_cell_angle_alpha 90.00
_cell_angle_beta 90.00
_cell_angle_gamma 90.00
loop_
_atom_site_label
_atom_site_fract_x
_atom_site_fract_y
_atom_site_fract_z
Al1 0.245 0.131 0.000
Pd1 0.000 0.500 0.250
Pd2 0.248 0.178 0.500
Rh1 0.000 0.000 0.250
```

=====

This record from the Alexandria database describes a geometry-optimized KTaSb2 structure. The functional is PBE-GGA.

Calculated values
The energy above the lowest structure with this stoichiometry comes out at 258.9 meV per atom. Its formation energy from raw total energies is 0.16 eV per atom. The electronic total energy is -20.551 eV per cell.

The structure in CIF format:
```
data_KTaSb2
_chemical_formula_sum 'K1 Ta1 Sb2'
_space_group_name_H-M_alt 'P m m 2'
_space_group_IT_number 25
_cell_length_a 3.503
_cell_length_b 4.064
_cell_length_c 9.251
_cell_angle_alpha 90.00
_cell_angle_beta 90.00
_cell_angle_gamma 90.00
loop_
_space_group_symop_operation_xyz
'x,y,z'
'-x,-y,z'
'-x,y,z'
'x,-y,z'
loop_
_atom_site_label
_atom_site_fract_x
_atom_site_fract_y
_atom_site_fract_z
K1 0.000 0.000 0.000
Ta1 0.500 0.500 0.529
Sb1 0.000 0.000 0.627
Sb2 0.500 0.500 0.248
```

=====

This record from the Alexandria database describes a geometry-optimized TbAl2ZnCu2 structure. The functional is PBE-GGA.

Calculated values
The energy of formation comes out at -0.08 eV/atom. The electronic total energy is -22.047 eV per cell.

The structure in CIF format:
```
data_TbAl2ZnCu2
_chemical_formula_sum 'Tb1 Al2 Zn1 Cu2'
_space_group_name_H-M_alt 'P 4/m m m'
_space_group_IT_number 123
_space_group_name_Hall '-P 4 2'
_cell_length_a 4.433
_cell_length_b 4.433
_cell_length_c 5.569
_cell_angle_alpha 90.00
_cell_angle_beta 90.00
_cell_angle_gamma 90.00
loop_
_atom_site_label
_atom_site_fract_x
_atom_site_fract_y
_atom_site_fract_z
Tb1 0.000 0.000 0.000
Al1 0.500 0.500 0.240
Zn1 0.000 0.000 0.500
Cu1 0.000 0.500 0.500
```

=====

This record from the Alexandria database describes a geometry-optimized NpF12 structure. The functional is PBE-GGA.

Calculated values
Its formation energy from raw total energies is -1.21 eV per atom. The electronic total energy is -102.331 eV per cell.

The structure in CIF format:
```
data_NpF12
_chemical_formula_sum 'Np2 F24'
_space_group_name_H-M_alt 'I m -3'
_space_group_IT_number 204
_space_group_name_Hall '-I 2 2 3'
_cell_length_a 7.018
_cell_length_b 7.018
_cell_length_c 7.018
_cell_angle_alpha 90.00
_cell_angle_beta 90.00
_cell_angle_gamma 90.00
loop_
_atom_site_label
_atom_site_fract_x
_atom_site_fract_y
_atom_site_fract_z
Np1 0.000 0.000 0.000
F1 0.000 0.137 0.294
```

=====

This record from the Alexandria database describes a geometry-optimized BeAl2 structure. The functional is PBE-GGA.

Calculated values
The energy of formation comes out at 0.18 eV/atom. The electronic total energy is -42.715 eV per cell.

The structure in CIF format:
```
data_BeAl2
_chemical_formula_sum 'Be4 Al8'
_space_group_name_H-M_alt 'P n m a'
_space_group_IT_number 62
_cell_length_a 5.307
_cell_length_b 3.927
_cell_length_c 8.028
_cell_angle_alpha 90.00
_cell_angle_beta 90.00
_cell_angle_gamma 90.00
loop_
_space_group_symop_operation_xyz
'x,y,z'
'-x,-y,-z'
'-x+1/2,-y,z+1/2'
'x+1/2,y,-z+1/2'
'x+1/2,-y+1/2,-z+1/2'
'-x+1/2,y+1/2,z+1/2'
'-x,y+1/2,-z'
'x,-y+1/2,z'
loop_
_atom_site_label
_atom_site_fract_x
_atom_site_fract_y
_atom_site_fract_z
Be1 0.139 0.250 0.087
Al1 0.093 0.250 0.769
Al2 0.144 0.250 0.425
```

=====

This record from the Alexandria database describes a geometry-optimized HfScIn2S structure. The functional is PBE-GGA.

Calculated values
Its formation energy from raw total energies is 0.18 eV per atom. The electronic total energy is -24.984 eV per cell.

The structure in CIF format:
```
data_HfScIn2S
_chemical_formula_sum 'Hf1 Sc1 In2 S1'
_space_group_name_H-M_alt 'P 4/m m m'
_space_group_IT_number 123
_space_group_name_Hall '-P 4 2'
_cell_length_a 5.563
_cell_length_b 5.563
_cell_length_c 4.744
_cell_angle_alpha 90.00
_cell_angle_beta 90.00
_cell_angle_gamma 90.00
loop_
_atom_site_label
_atom_site_fract_x
_atom_site_fract_y
_atom_site_fract_z
Hf1 0.000 0.000 0.000
Sc1 0.500 0.500 0.500
In1 0.000 0.500 0.000
S1 0.000 0.000 0.500
```

=====

This record from the Alexandria database describes a geometry-optimized Nb3BOs structure. The functional is PBE-GGA.

Calculated values
The energy above the lowest structure with this stoichiometry comes out at 0.0 meV per atom. The energy of formation comes out at 0.15 eV/atom. The electronic total energy is -47.356 eV per cell.

The structure in CIF format:
```
data_Nb3BOs
_chemical_formula_sum 'Nb3 B1 Os1'
_space_group_name_H-M_alt 'P m -3 m'
_space_group_IT_number 221
_space_group_name_Hall '-P 4 2 3'
_cell_length_a 4.318
_cell_length_b 4.318
_cell_length_c 4.318
_cell_angle_alpha 90.00
_cell_angle_beta 90.00
_cell_angle_gamma 90.00
loop_
_atom_site_label
_atom_site_fract_x
_atom_site_fract_y
_atom_site_fract_z
Nb1 0.000 0.000 0.500
B1 0.000 0.000 0.000
Os1 0.500 0.500 0.500
```

=====

This record from the Alexandria database describes a geometry-optimized Hf2GaCo3 structure. The functional is PBE-GGA.

Calculated values
The energy above the lowest structure with this stoichiometry comes out at 0.0 meV per atom. The energy of formation comes out at -0.46 eV/atom. The electronic total energy is -94.082 eV per cell.

The structure in CIF format:
```
data_Hf2GaCo3
_chemical_formula_sum 'Hf4 Ga2 Co6'
_space_group_name_H-M_alt 'P 63/m m c'
_space_group_IT_number 194
_space_group_name_Hall '-P 6c 2c'
_cell_length_a 5.0455
_cell_length_b 5.0455
_cell_length_c 7.6994
_cell_angle_alpha 90.00
_cell_angle_beta 90.00
_cell_angle_gamma 120.00
loop_
_atom_site_label
_atom_site_fract_x
_atom_site_fract_y
_atom_site_fract_z
Hf1 0.3333 0.6667 0.0609
Ga1 0.0000 0.0000 0.0000
Co1 0.1722 0.3444 0.7500
```

=====

This record from the Alexandria database describes a geometry-optimized HoFeRu structure. The functional is PBE-GGA.

Calculated values
The energy of formation comes out at 0.03 eV/atom. The electronic total energy is -44.477 eV per cell.

The structure in CIF format:
```
data_HoFeRu
_chemical_formula_sum 'Ho2 Fe2 Ru2'
_space_group_name_H-M_alt 'I 4 m m'
_space_group_IT_number 107
_space_group_name_Hall 'I 4 -2'
_cell_length_a 3.241
_cell_length_b 3.241
_cell_length_c 10.035
_cell_angle_alpha 90.00
_cell_angle_beta 90.00
_cell_angle_gamma 90.00
loop_
_atom_site_label
_atom_site_fract_x
_atom_site_fract_y
_atom_site_fract_z
Ho1 0.000 0.000 0.000
Fe1 0.000 0.000 0.696
Ru1 0.000 0.000 0.316
```

=====

This record from the Alexandria database describes a geometry-optimized VMo2HPt structure. The functional is PBE-GGA.

Calculated values
The electronic total energy is -41.005 eV per cell.

The structure in CIF format:
```
data_VMo2HPt
_chemical_formula_sum 'V1 Mo2 H1 Pt1'
_space_group_name_H-M_alt 'P 4/m m m'
_space_group_IT_number 123
_space_group_name_Hall '-P 4 2'
_cell_length_a 3.959
_cell_length_b 3.959
_cell_length_c 3.979
_cell_angle_alpha 90.00
_cell_angle_beta 90.00
_cell_angle_gamma 90.00
loop_
_atom_site_label
_atom_site_fract_x
_atom_site_fract_y
_atom_site_fract_z
V1 0.000 0.000 0.000
Mo1 0.000 0.500 0.500
H1 0.000 0.000 0.500
Pt1 0.500 0.500 0.000
```

=====

This record from the Alexandria database describes a geometry-optimized CrGaFe4 structure. The functional is PBE-GGA.

Calculated values
The energy above the lowest structure with this stoichiometry comes out at 0.0 meV per atom. The energy of formation comes out at -0.01 eV/atom. The electronic total energy is -186.193 eV per cell.

The structure in CIF format:
```
data_CrGaFe4
_chemical_formula_sum 'Cr4 Ga4 Fe16'
_space_group_name_H-M_alt 'I m m a'
_space_group_IT_number 74
_space_group_name_Hall '-I 2b 2'
_cell_length_a 4.117
_cell_length_b 8.396
_cell_length_c 8.247
_cell_angle_alpha 90.00
_cell_angle_beta 90.00
_cell_angle_gamma 90.00
loop_
_atom_site_label
_atom_site_fract_x
_atom_site_fract_y
_atom_site_fract_z
Cr1 0.000 0.250 0.124
Ga1 0.000 0.250 0.619
Fe1 0.000 0.079 0.881
Fe2 0.000 0.080 0.368
```

=====

> Look up the electronic total energy of the eleventh one.

-41.005 eV per cell

=====

> Look up the electronic total energy of the eleventh one.

-41.005 eV per cell

=====

> Number 8 is which compound?

Nb3BOs

=====

> Which of these has the lowest electronic total energy?

CrGaFe4